1.
8
Lattice="5.014 -4.556 0.000 5.014 4.556 0.000 0.000 0.000 7.046" Properties=species:S:1:pos:R:3 comment="BaBi, relaxed, DFT GGA-PBE" e_form_kj_per_mol_atoms=-73.9 magnetic_moment_mub_per_fu=0.00 dos_ef_per_ev_cell=2.7 spacegroup="Cmcm, No. 63" pbc="T T T"
Ba 1.879 1.474 1.762
Ba 1.879 -1.474 5.285
Ba 8.150 1.474 1.762
Ba 8.150 -1.474 5.285
Bi 5.014 3.025 1.762
Bi 5.014 0.000 0.000
Bi 5.014 0.000 3.523
Bi 5.014 -3.025 5.285


2.
5
Lattice="4.831 0.000 0.000 0.000 4.831 0.000 0.000 0.000 4.831" Properties=species:S:1:pos:R:3 comment="FeSb3Rh, relaxed, DFT GGA-PBE" magnetic_moment_mub_per_fu=0.75 dos_ef_per_ev_cell=3.9 spacegroup="Pm-3m, No. 221" relative_energy_mev_per_atom=0 raw_formation_energy_kcal_per_mol_atoms=13.5 pbc="T T T"
Fe 0.000 0.000 0.000
Sb 0.000 0.000 2.415
Sb 0.000 2.415 0.000
Sb 2.415 0.000 0.000
Rh 2.415 2.415 2.415